Record 1
4
Lattice="4.078 0.000 0.000 0.000 4.078 0.000 0.000 0.000 8.308" Properties=species:S:1:pos:R:3 comment="BaAcCdAg (PBE, optimized geometry)" magnetic_moment_mub_per_atom=0.00 dft_energy_ev_per_atom=-2.724 formation_enthalpy_0k_ev_per_atom=-0.2747 pbc="T T T"
Ba 0.000 0.000 0.000
Ac 0.000 0.000 4.314
Cd 2.039 2.039 2.295
Ag 2.039 2.039 6.062

Record 2
4
Lattice="0.000 4.092 4.092 4.092 0.000 4.092 4.092 4.092 0.000" Properties=species:S:1:pos:R:3 comment="BaAcCdAg (PBE, optimized geometry)" magnetic_moment_mub_per_atom=0.00 dft_energy_ev_per_atom=-2.679 formation_enthalpy_0k_ev_per_atom=-0.2300 pbc="T T T"
Ba 0.000 0.000 0.000
Ac 4.092 4.092 4.092
Cd 6.138 6.138 6.138
Ag 2.046 2.046 2.046

Record 3
7
Lattice="2.348 1.356 11.860 -2.348 1.356 11.860 0.000 -2.711 11.860" Properties=species:S:1:pos:R:3 comment="BaAc2Ag2Ge2 (PBE, optimized geometry)" magnetic_moment_mub_per_atom=0.00 dft_energy_ev_per_atom=-3.985 formation_enthalpy_0k_ev_per_atom=-0.4029 pbc="T T T"
Ba 0.000 0.000 0.000
Ac 0.000 0.000 4.219
Ac 0.000 0.000 31.361
Ag 0.000 0.000 14.115
Ag 0.000 0.000 21.464
Ge 0.000 0.000 9.353
Ge 0.000 0.000 26.226

Record 4
4
Lattice="0.000 3.991 3.991 3.991 0.000 3.991 3.991 3.991 0.000" Properties=species:S:1:pos:R:3 comment="BaAcAgGe (PBE, optimized geometry)" magnetic_moment_mub_per_atom=0.00 dft_energy_ev_per_atom=-3.790 formation_enthalpy_0k_ev_per_atom=-0.4155 pbc="T T T"
Ba 0.000 0.000 0.000
Ac 3.991 3.991 3.991
Ag 5.987 5.987 5.987
Ge 1.996 1.996 1.996

Record 5
4
Lattice="0.000 3.845 3.845 3.845 0.000 3.845 3.845 3.845 0.000" Properties=species:S:1:pos:R:3 comment="BaAcAgIr (PBE, optimized geometry)" magnetic_moment_mub_per_atom=0.00 dft_energy_ev_per_atom=-4.631 formation_enthalpy_0k_ev_per_atom=-0.1949 pbc="T T T"
Ba 0.000 0.000 0.000
Ac 3.845 3.845 3.845
Ag 1.923 1.923 1.923
Ir 5.768 5.768 5.768

Record 6
4
Lattice="0.000 4.086 4.086 4.086 0.000 4.086 4.086 4.086 0.000" Properties=species:S:1:pos:R:3 comment="BaLiAcAg (PBE, optimized geometry)" magnetic_moment_mub_per_atom=0.00 dft_energy_ev_per_atom=-2.723 formation_enthalpy_0k_ev_per_atom=-0.0242 pbc="T T T"
Ba 0.000 0.000 0.000
Li 6.129 6.129 6.129
Ac 4.086 4.086 4.086
Ag 2.043 2.043 2.043

Record 7
4
Lattice="0.000 4.133 4.133 4.133 0.000 4.133 4.133 4.133 0.000" Properties=species:S:1:pos:R:3 comment="BaAcMgAg (PBE, optimized geometry)" magnetic_moment_mub_per_atom=0.00 dft_energy_ev_per_atom=-2.697 formation_enthalpy_0k_ev_per_atom=-0.0773 pbc="T T T"
Ba 0.000 0.000 0.000
Ac 4.133 4.133 4.133
Mg 6.199 6.199 6.199
Ag 2.066 2.066 2.066

Record 8
4
Lattice="0.000 3.885 3.885 3.885 0.000 3.885 3.885 3.885 0.000" Properties=species:S:1:pos:R:3 comment="BaAcNiAg (PBE, optimized geometry)" magnetic_moment_mub_per_atom=0.00 dft_energy_ev_per_atom=-3.683 formation_enthalpy_0k_ev_per_atom=-0.0166 pbc="T T T"
Ba 0.000 0.000 0.000
Ac 3.885 3.885 3.885
Ni 1.943 1.943 1.943
Ag 5.828 5.828 5.828